[1]
DFT (PBE-GGA) results for BiSbPt after structural relaxation.

## Properties
The value obtained for the uncorrected energy is -5.045 eV/atom. The calculated density is 11.20 g/cm3. The space-group type is P2_1/c. Its magnetic moment is 0.00 μB per atom. The density of states at the Fermi level is 2.82 states/eV per cell. The value obtained for the distance to the lowest polymorph of the same formula is 0.5 kJ per mole of atoms.

abc: 7.2201 5.4363 7.9457
angles: 90.00 90.13 90.00
With the nearest neighbours (Å) after each atom.
Sites, in units of the cell vectors:
Bi 0.0680 0.2266 0.3982  3 Pt 2.82, 1 Bi 3.11
Bi 0.0680 0.2734 0.8982  3 Pt 2.82, 1 Bi 3.11
Bi 0.9320 0.7266 0.1017  3 Pt 2.82, 1 Bi 3.11
Bi 0.9320 0.7734 0.6018  3 Pt 2.82, 1 Bi 3.11
Sb 0.4368 0.7171 0.9031  3 Pt 2.69-2.70, 1 Sb 2.96
Sb 0.4368 0.7829 0.4031  3 Pt 2.69-2.70, 1 Sb 2.96
Sb 0.5632 0.2171 0.5969  3 Pt 2.69-2.70, 1 Sb 2.96
Sb 0.5632 0.2829 0.0969  3 Pt 2.69-2.70, 1 Sb 2.96
Pt 0.2649 0.5065 0.6373  3 Sb 2.69-2.70, 3 Bi 2.82
Pt 0.2649 0.9935 0.1373  3 Sb 2.69-2.70, 3 Bi 2.82
Pt 0.7351 0.0065 0.8627  3 Sb 2.69-2.70, 3 Bi 2.82
Pt 0.7351 0.4935 0.3627  3 Sb 2.69-2.70, 3 Bi 2.82



[2]
DFT (PBE-GGA) results for Bi2SbPt after structural relaxation.

## Properties
The value obtained for the uncorrected energy is -4.417 eV/atom. The calculated density is 8.50 g/cm3. The space-group type is I-42d. Its magnetic moment is 0.00 μB per atom. The density of states at the Fermi level is 6.98 states/eV per cell.

abc: 6.6630 6.6630 12.9312
angles: 90.00 90.00 90.00
With the nearest neighbours (Å) after each atom.
Sites, in units of the cell vectors:
Bi 0.2047 0.2500 0.1250  2 Pt 2.69
Bi 0.2500 0.7047 0.3750  2 Pt 2.69
Bi 0.2500 0.7953 0.8750  2 Pt 2.69
Bi 0.2953 0.2500 0.6250  2 Pt 2.69
Bi 0.7047 0.7500 0.6250  2 Pt 2.69
Bi 0.7500 0.2047 0.8750  2 Pt 2.69
Bi 0.7500 0.2953 0.3750  2 Pt 2.69
Bi 0.7953 0.7500 0.1250  2 Pt 2.69
Sb 0.0000 0.0000 0.5000  4 Bi 3.04
Sb 0.0000 0.5000 0.7500  4 Bi 3.04
Sb 0.5000 0.0000 0.2500  4 Bi 3.04
Sb 0.5000 0.5000 0.0000  4 Bi 3.04
Pt 0.0000 0.0000 0.0000  4 Bi 2.69
Pt 0.0000 0.5000 0.2500  4 Bi 2.69
Pt 0.5000 0.0000 0.7500  4 Bi 2.69
Pt 0.5000 0.5000 0.5000  4 Bi 2.69



[3]
DFT (PBE-GGA) results for Bi5SbPt3 after structural relaxation.

## Properties
The value obtained for the uncorrected energy is -4.924 eV/atom. The calculated density is 11.97 g/cm3. The space-group type is P2/m. Its magnetic moment is 0.00 μB per atom. The density of states at the Fermi level is 6.64 states/eV per cell.

abc: 6.8152 4.2227 16.8945
angles: 90.00 91.09 90.00
With the nearest neighbours (Å) after each atom.
Sites, in units of the cell vectors:
Bi 0.1315 0.0000 0.4250  3 Pt 2.79-2.83
Bi 0.1343 0.0000 0.0971  3 Pt 2.82, 1 Sb 3.04
Bi 0.3611 0.5000 0.5929  3 Pt 2.80-2.81, 1 Bi 3.08
Bi 0.3606 0.5000 0.9269  3 Pt 2.77-2.81, 1 Bi 3.09
Bi 0.3651 0.5000 0.2603  3 Pt 2.79-2.81, 1 Bi 3.08
Bi 0.6349 0.5000 0.7397  3 Pt 2.79-2.81, 1 Bi 3.08
Bi 0.6394 0.5000 0.0731  3 Pt 2.77-2.81, 1 Bi 3.09
Bi 0.6389 0.5000 0.4071  3 Pt 2.80-2.81, 1 Bi 3.08
Bi 0.8657 0.0000 0.9029  3 Pt 2.82, 1 Sb 3.04
Bi 0.8685 0.0000 0.5750  3 Pt 2.79-2.83
Sb 0.1339 0.0000 0.7612  3 Pt 2.68-2.72
Sb 0.8661 0.0000 0.2388  3 Pt 2.68-2.72
Pt 0.0000 0.5000 0.0000  6 Bi 2.77-2.82
Pt 0.0063 0.5000 0.6732  2 Sb 2.72, 4 Bi 2.79-2.83
Pt 0.4894 0.0000 0.8312  1 Sb 2.68, 5 Bi 2.81-2.82
Pt 0.5000 0.0000 0.5000  6 Bi 2.79-2.81
Pt 0.5106 0.0000 0.1688  1 Sb 2.68, 5 Bi 2.81-2.82
Pt 0.9937 0.5000 0.3268  2 Sb 2.72, 4 Bi 2.79-2.83